Entry 1:
Density functional theory data (GGA-PBE) for a relaxed HRhF4 crystal.

Cell: 5.4144 4.7063 7.1649 Å, 70.83 85.72 76.88°
Element x y z (fractional)
F 0.6474 0.9039 0.1797
F 0.6142 0.7217 0.6013
F 0.1142 0.8230 0.3987
F 0.3858 0.2783 0.3987
F 0.8526 0.4165 0.1797
F 0.8858 0.1770 0.6013
F 0.1474 0.5835 0.8203
F 0.3526 0.0961 0.8203
Rh 0.2500 0.9445 0.6109
Rh 0.7500 0.0555 0.3891
H 0.7500 0.6591 0.1819
H 0.2500 0.3409 0.8181

- polymorph energy (0 for the lowest one) (eV per atom) = 0.000
- E_tot (eV for the cell shown) = -54.383
- volume (A^3/atom) = 14.00
- space group = C2/c, No. 15

***

Entry 2:
Density functional theory data (GGA-PBE) for a relaxed La3YCr crystal.

Cell: 5.4622 5.4622 5.4622 Å, 90.00 90.00 90.00°
Element x y z (fractional)
La 0.0000 0.0000 0.5000
La 0.0000 0.5000 0.0000
La 0.5000 0.0000 0.0000
Y 0.5000 0.5000 0.5000
Cr 0.0000 0.0000 0.0000

- polymorph energy (0 for the lowest one) (eV per atom) = 0.000
- E_tot (eV for the cell shown) = -29.025
- D(E_F) (states/eV/f.u.) = 7.9
- volume (A^3/atom) = 32.59
- space group = Pm-3m, No. 221

***

Entry 3:
Density functional theory data (GGA-PBE) for a relaxed CaDy2ZrP4 crystal.

Cell: 3.9474 6.8875 6.8064 Å, 109.09 90.00 90.00°
Element x y z (fractional)
P 0.5000 0.7629 0.7601
P 0.0000 0.2379 0.7529
P 0.0000 0.7621 0.2471
P 0.5000 0.2371 0.2399
Ca 0.5000 0.5000 0.0000
Zr 0.0000 0.0000 0.0000
Dy 0.5000 0.0000 0.5000
Dy 0.0000 0.5000 0.5000

- E_tot (eV for the cell shown) = -52.576
- D(E_F) (states/eV/f.u.) = 1.2
- volume (A^3/atom) = 21.86
- space group = P2/m, No. 10

***

Entry 4:
Density functional theory data (GGA-PBE) for a relaxed Cs3PrSb2O9 crystal.

Cell: 6.1574 6.1574 7.5907 Å, 90.00 90.00 120.00°
Element x y z (fractional)
O 0.8194 0.6388 0.6927
O 0.0000 0.5000 0.0000
O 0.1806 0.8194 0.3073
O 0.5000 0.0000 0.0000
O 0.1806 0.3612 0.3073
O 0.6388 0.8194 0.3073
O 0.8194 0.1806 0.6927
O 0.3612 0.1806 0.6927
O 0.5000 0.5000 0.0000
Sb 0.3333 0.6667 0.1565
Sb 0.6667 0.3333 0.8435
Cs 0.6667 0.3333 0.3364
Cs 0.0000 0.0000 0.0000
Cs 0.3333 0.6667 0.6636
Pr 0.0000 0.0000 0.5000

- E_tot (eV for the cell shown) = -83.285
- E_form (uncorrected) (kJ/mol of formula units) = -2227
- D(E_F) (states/eV/f.u.) = 10.1
- volume (A^3/atom) = 16.62
- space group = P-3m1, No. 164

***

Entry 5:
Density functional theory data (GGA-PBE) for a relaxed CoTc2B2 crystal.

Cell: 5.4278 5.4278 3.3765 Å, 90.00 90.00 90.00°
Element x y z (fractional)
B 0.6185 0.1185 0.0000
B 0.3815 0.8815 0.0000
B 0.8815 0.6185 0.0000
B 0.1185 0.3815 0.0000
Co 0.0000 0.0000 0.0000
Co 0.5000 0.5000 0.0000
Tc 0.6782 0.8218 0.5000
Tc 0.8218 0.3218 0.5000
Tc 0.3218 0.1782 0.5000
Tc 0.1782 0.6782 0.5000

- polymorph energy (0 for the lowest one) (eV per atom) = 0.007
- E_tot (eV for the cell shown) = -85.828
- D(E_F) (states/eV/f.u.) = 5.0
- volume (A^3/atom) = 9.95
- space group = P4/mbm, No. 127

***

Entry 6:
Density functional theory data (GGA-PBE) for a relaxed Ba2ScCdSe5 crystal.

Cell: 4.2537 9.7192 13.1969 Å, 90.00 90.00 102.64°
Element x y z (fractional)
Se 0.4959 0.9918 0.7678
Se 0.6507 0.3015 0.5056
Se 0.3050 0.6100 0.3757
Se 0.3493 0.6985 0.0056
Se 0.5041 0.0082 0.2678
Se 0.2899 0.5798 0.6503
Se 0.0647 0.1295 0.0617
Se 0.6950 0.3900 0.8757
Se 0.9353 0.8705 0.5617
Se 0.7101 0.4202 0.1503
Sc 0.2099 0.4199 0.0153
Sc 0.7901 0.5801 0.5153
Ba 0.1322 0.2645 0.3122
Ba 0.8678 0.7355 0.8122
Ba 0.8822 0.7645 0.1905
Ba 0.1178 0.2355 0.6905
Cd 0.5533 0.1067 0.9450
Cd 0.4467 0.8933 0.4450

- E_tot (eV for the cell shown) = -83.230
- E_form (uncorrected) (kJ/mol of formula units) = -1264
- D(E_F) (states/eV/f.u.) = 5.9
- volume (A^3/atom) = 29.58
- space group = Cmc2_1, No. 36

***

Entry 7:
Density functional theory data (GGA-PBE) for a relaxed MgSnS2Cl crystal.

Cell: 4.8636 4.8636 4.8542 Å, 90.00 90.00 90.00°
Element x y z (fractional)
Mg 0.0000 0.0000 0.0000
S 0.5000 0.0000 0.0000
S 0.0000 0.5000 0.0000
Sn 0.5000 0.5000 0.5000
Cl 0.0000 0.0000 0.5000

- polymorph energy (0 for the lowest one) (eV per atom) = 0.000
- E_tot (eV for the cell shown) = -18.170
- E_form (uncorrected) (kJ/mol of formula units) = -238
- D(E_F) (states/eV/f.u.) = 4.9
- volume (A^3/atom) = 22.97
- space group = P4/mmm, No. 123

***

Entry 8:
Density functional theory data (GGA-PBE) for a relaxed Y2InHg2 crystal.

Cell: 5.7820 5.7820 6.0492 Å, 61.45 61.45 90.00°
Element x y z (fractional)
Y 0.7500 0.2500 0.5000
Y 0.2500 0.7500 0.5000
In 0.0000 0.0000 0.0000
Hg 0.6518 0.6518 0.6964
Hg 0.3482 0.3482 0.3036

- polymorph energy (0 for the lowest one) (eV per atom) = 0.379
- E_tot (eV for the cell shown) = -16.689
- D(E_F) (states/eV/f.u.) = 5.0
- volume (A^3/atom) = 29.81
- space group = I4/mmm, No. 139

***

Entry 9:
Density functional theory data (GGA-PBE) for a relaxed SiTcSb2 crystal.

Cell: 4.8903 4.8903 3.2973 Å, 90.00 90.00 102.41°
Element x y z (fractional)
Tc 0.0000 0.5000 0.5000
Si 0.5000 0.0000 0.5000
Sb 0.0000 0.0000 0.0000
Sb 0.5000 0.5000 0.0000

- E_tot (eV for the cell shown) = -21.847
- E_form (uncorrected) (kJ/mol of formula units) = 211
- D(E_F) (states/eV/f.u.) = 3.7
- volume (A^3/atom) = 19.25
- space group = Cmmm, No. 65

***

Entry 10:
Density functional theory data (GGA-PBE) for a relaxed SrCeH4 crystal.

Cell: 3.9555 3.9556 5.6974 Å, 90.00 90.00 89.96°
Element x y z (fractional)
H 0.0013 0.4973 0.2685
H 0.0013 0.4973 0.7278
H 0.5013 0.9973 0.7278
H 0.5013 0.9973 0.2684
Ce 0.0013 0.9973 0.4981
Sr 0.5013 0.4973 0.9981

- E_tot (eV for the cell shown) = -24.045
- D(E_F) (states/eV/f.u.) = 6.9
- volume (A^3/atom) = 14.86
- space group = P4/mmm, No. 123

***

Entry 11:
Density functional theory data (GGA-PBE) for a relaxed TmHfCu10 crystal.

Cell: 4.0846 4.9505 8.4961 Å, 90.00 90.00 90.00°
Element x y z (fractional)
Cu 0.5000 0.0000 0.5000
Cu 0.0000 0.0000 0.6615
Cu 0.0000 0.5000 0.1731
Cu 0.5000 0.5000 0.0000
Cu 0.5000 0.2532 0.2556
Cu 0.5000 0.2532 0.7444
Cu 0.5000 0.7468 0.2556
Cu 0.5000 0.7468 0.7444
Cu 0.0000 0.5000 0.8269
Cu 0.0000 0.0000 0.3385
Hf 0.0000 0.5000 0.5000
Tm 0.0000 0.0000 0.0000

- E_tot (eV for the cell shown) = -56.660
- D(E_F) (states/eV/f.u.) = 8.2
- volume (A^3/atom) = 14.32
- space group = Pmmm, No. 47

***

Entry 12:
Density functional theory data (GGA-PBE) for a relaxed Ho3HgPd6 crystal.

Cell: 4.4475 9.9610 9.9610 Å, 113.01 90.00 90.00°
Element x y z (fractional)
Pd 0.0000 0.6896 0.3104
Pd 0.9965 0.9470 0.5374
Pd 0.4978 0.9548 0.0452
Pd 0.4965 0.0530 0.4626
Pd 0.4965 0.5374 0.9470
Pd 0.5000 0.3104 0.6896
Pd 0.9993 0.7191 0.6196
Pd 0.4993 0.6196 0.7191
Pd 0.9993 0.3804 0.2809
Pd 0.9965 0.4626 0.0530
Pd 0.4993 0.2809 0.3804
Pd 0.9978 0.0452 0.9548
Ho 0.4982 0.9349 0.7262
Ho 0.4982 0.2738 0.0651
Ho 0.9982 0.0651 0.2738
Ho 0.9982 0.7262 0.9349
Ho 0.4998 0.5899 0.4101
Ho 0.9998 0.4101 0.5899
Hg 0.9998 0.2102 0.7898
Hg 0.4998 0.7898 0.2102

- E_tot (eV for the cell shown) = -104.198
- D(E_F) (states/eV/f.u.) = 3.8
- volume (A^3/atom) = 20.31
- space group = Cmc2_1, No. 36